# Ba2PtO | Alexandria | PBE | relaxed
data_Ba2PtO
_chemical_formula_sum 'Ba2 Pt1 O1'
_symmetry_space_group_name_H-M 'P 4/m m m'
_symmetry_Int_Tables_number 123
_symmetry_space_group_name_Hall '-P 4 2'
_cell_length_a 3.585
_cell_length_b 3.585
_cell_length_c 7.495
_cell_angle_alpha 90.00
_cell_angle_beta 90.00
_cell_angle_gamma 90.00
loop_
_atom_site_label
_atom_site_fract_x
_atom_site_fract_y
_atom_site_fract_z
Ba1 0.000 0.000 0.221
Pt1 0.500 0.500 0.500
O1 0.500 0.500 0.000
# E_form (uncorrected) ... -1.296 eV per atom
# DOS(E_F) ... 0.0242 states/eV per atom

***

# Li2PrHfS4 | Alexandria | PBE | relaxed
data_Li2PrHfS4
_chemical_formula_sum 'Li2 Pr1 Hf1 S4'
_symmetry_space_group_name_H-M 'P 1 2/m 1'
_symmetry_Int_Tables_number 10
_symmetry_space_group_name_Hall '-P 2y'
_cell_length_a 6.599
_cell_length_b 3.799
_cell_length_c 6.703
_cell_angle_alpha 90.00
_cell_angle_beta 109.43
_cell_angle_gamma 90.00
loop_
_atom_site_label
_atom_site_fract_x
_atom_site_fract_y
_atom_site_fract_z
Li1 0.000 0.000 0.000
Li2 0.000 0.500 0.500
Pr1 0.500 0.000 0.500
Hf1 0.500 0.500 0.000
S1 0.241 0.500 0.219
S2 0.254 0.000 0.774
# E_form (uncorrected) ... -1.586 eV per atom
# DOS(E_F) ... 0.3554 states/eV per atom

***

Q: Which formula does entry 2 have?
A: Li2PrHfS4